A relaxed Sc2ZnCd2 crystal. Source: the Alexandria database, functional PBE.

Output
The calculation puts the energy above the most stable polymorph in this dataset at 0 meV per atom. Its formation energy is -0.21 eV/atom. The calculation puts the total energy at -3.36 eV/atom.

a = 10.914 Å, b = 10.914 Å, c = 3.161 Å
α = 90.00°, β = 90.00°, γ = 163.53°
Positions (direct):
Sc (0.086, 0.914, 0.000)
Sc (0.914, 0.086, 0.000)
Zn (0.500, 0.500, 0.500)
Cd (0.310, 0.690, 0.500)
Cd (0.690, 0.310, 0.500)